[1]
Computed, not measured: crystalline ScTlCuPd at its relaxed geometry at the GGA-PBE level of DFT.

Cell and atoms, written as CIF:
```
data_ScTlCuPd
_chemical_formula_sum 'Sc4 Tl4 Cu4 Pd4'
_space_group_name_H-M_alt 'F -4 3 m'
_space_group_IT_number 216
_space_group_name_Hall 'F -4 2 3'
_cell_length_a 6.588
_cell_length_b 6.588
_cell_length_c 6.588
_cell_angle_alpha 90.00
_cell_angle_beta 90.00
_cell_angle_gamma 90.00
loop_
_atom_site_label
_atom_site_fract_x
_atom_site_fract_y
_atom_site_fract_z
Sc1 0.000 0.000 0.000
Tl1 0.250 0.250 0.250
Cu1 0.000 0.000 0.500
Pd1 0.250 0.250 0.750
```

Summary:
The crystal system is cubic. The calculation puts the energy above the most stable polymorph in this dataset at 0.0979 eV per atom. The value obtained for the final energy is -4.672 eV per atom.

***

[2]
Computed, not measured: crystalline ScTlCuPd at its relaxed geometry at the GGA-PBE level of DFT.

Cell and atoms, written as CIF:
```
data_ScTlCuPd
_chemical_formula_sum 'Sc4 Tl4 Cu4 Pd4'
_space_group_name_H-M_alt 'F -4 3 m'
_space_group_IT_number 216
_space_group_name_Hall 'F -4 2 3'
_cell_length_a 6.568
_cell_length_b 6.568
_cell_length_c 6.568
_cell_angle_alpha 90.00
_cell_angle_beta 90.00
_cell_angle_gamma 90.00
loop_
_atom_site_label
_atom_site_fract_x
_atom_site_fract_y
_atom_site_fract_z
Sc1 0.000 0.000 0.000
Tl1 0.000 0.000 0.500
Cu1 0.250 0.250 0.750
Pd1 0.250 0.250 0.250
```

Summary:
The crystal system is cubic. The calculation puts the energy above the most stable polymorph in this dataset at 0.0000 eV per atom. The value obtained for the final energy is -4.770 eV per atom.

***

[3]
Computed, not measured: crystalline CuPd3Se6 at its relaxed geometry at the GGA-PBE level of DFT.

Cell and atoms, written as CIF:
```
data_CuPd3Se6
_chemical_formula_sum 'Cu2 Pd6 Se12'
_space_group_name_H-M_alt 'C m m m'
_space_group_IT_number 65
_space_group_name_Hall '-C 2 2'
_cell_length_a 9.236
_cell_length_b 12.055
_cell_length_c 3.877
_cell_angle_alpha 90.00
_cell_angle_beta 90.00
_cell_angle_gamma 90.00
loop_
_atom_site_label
_atom_site_fract_x
_atom_site_fract_y
_atom_site_fract_z
Cu1 0.000 0.000 0.000
Pd1 0.000 0.500 0.000
Pd2 0.250 0.250 0.500
Se1 0.000 0.143 0.500
Se2 0.209 0.378 0.000
```

Summary:
The crystal system is orthorhombic. The value obtained for the final energy is -4.169 eV per atom.

***

[4]
Computed, not measured: crystalline Cu2Pd3Se2 at its relaxed geometry at the GGA-PBE level of DFT.

Cell and atoms, written as CIF:
```
data_Cu2Pd3Se2
_chemical_formula_sum 'Cu6 Pd9 Se6'
_space_group_name_H-M_alt 'R -3 m'
_space_group_IT_number 166
_space_group_name_Hall '-R 3 2"'
_cell_length_a 5.6557
_cell_length_b 5.6557
_cell_length_c 12.8671
_cell_angle_alpha 90.00
_cell_angle_beta 90.00
_cell_angle_gamma 120.00
loop_
_atom_site_label
_atom_site_fract_x
_atom_site_fract_y
_atom_site_fract_z
Cu1 0.0000 0.0000 0.0000
Cu2 0.0000 0.0000 0.5000
Pd1 0.0000 0.5000 0.0000
Se1 0.0000 0.0000 0.1918
```

Summary:
The crystal system is trigonal. The value obtained for the final energy is -4.339 eV per atom.

***

[5]
Computed, not measured: crystalline TlCuTePdSe2 at its relaxed geometry at the GGA-PBE level of DFT.

Cell and atoms, written as CIF:
```
data_TlCuTePdSe2
_chemical_formula_sum 'Tl4 Cu4 Te4 Pd4 Se8'
_space_group_name_H-M_alt 'C m c m'
_space_group_IT_number 63
_space_group_name_Hall '-C 2c 2'
_cell_length_a 3.784
_cell_length_b 14.928
_cell_length_c 10.341
_cell_angle_alpha 90.00
_cell_angle_beta 90.00
_cell_angle_gamma 90.00
loop_
_atom_site_label
_atom_site_fract_x
_atom_site_fract_y
_atom_site_fract_z
Tl1 0.000 0.227 0.250
Cu1 0.000 0.452 0.750
Te1 0.000 0.074 0.750
Pd1 0.000 0.000 0.000
Se1 0.000 0.385 0.536
```

Summary:
The crystal system is orthorhombic. The value obtained for the final energy is -3.765 eV per atom.

***

[6]
Computed, not measured: crystalline TlCuPdSe3 at its relaxed geometry at the GGA-PBE level of DFT.

Cell and atoms, written as CIF:
```
data_TlCuPdSe3
_chemical_formula_sum 'Tl4 Cu4 Pd4 Se12'
_space_group_name_H-M_alt 'P n m a'
_space_group_IT_number 62
_cell_length_a 13.179
_cell_length_b 3.901
_cell_length_c 10.753
_cell_angle_alpha 90.00
_cell_angle_beta 90.00
_cell_angle_gamma 90.00
loop_
_space_group_symop_operation_xyz
'x,y,z'
'-x,-y,-z'
'-x+1/2,-y,z+1/2'
'x+1/2,y,-z+1/2'
'x+1/2,-y+1/2,-z+1/2'
'-x+1/2,y+1/2,z+1/2'
'-x,y+1/2,-z'
'x,-y+1/2,z'
loop_
_atom_site_label
_atom_site_fract_x
_atom_site_fract_y
_atom_site_fract_z
Tl1 0.154 0.250 0.017
Cu1 0.202 0.750 0.261
Pd1 0.042 0.750 0.643
Se1 0.027 0.750 0.228
Se2 0.107 0.250 0.508
Se3 0.198 0.750 0.781
```

Summary:
The crystal system is orthorhombic. The calculation puts the energy above the most stable polymorph in this dataset at 0.0020 eV per atom. The value obtained for the final energy is -3.866 eV per atom.

***

[7]
Computed, not measured: crystalline TlCuPdSe3 at its relaxed geometry at the GGA-PBE level of DFT.

Cell and atoms, written as CIF:
```
data_TlCuPdSe3
_chemical_formula_sum 'Tl4 Cu4 Pd4 Se12'
_space_group_name_H-M_alt 'C m c m'
_space_group_IT_number 63
_space_group_name_Hall '-C 2c 2'
_cell_length_a 3.842
_cell_length_b 13.637
_cell_length_c 10.385
_cell_angle_alpha 90.00
_cell_angle_beta 90.00
_cell_angle_gamma 90.00
loop_
_atom_site_label
_atom_site_fract_x
_atom_site_fract_y
_atom_site_fract_z
Tl1 0.000 0.250 0.250
Cu1 0.000 0.057 0.750
Pd1 0.000 0.500 0.000
Se1 0.000 0.121 0.532
Se2 0.000 0.448 0.750
```

Summary:
The crystal system is orthorhombic. The calculation puts the energy above the most stable polymorph in this dataset at 0.0250 eV per atom. The value obtained for the final energy is -3.843 eV per atom.

***

[8]
Computed, not measured: crystalline TlCu3PdSe4 at its relaxed geometry at the GGA-PBE level of DFT.

Cell and atoms, written as CIF:
```
data_TlCu3PdSe4
_chemical_formula_sum 'Tl1 Cu3 Pd1 Se4'
_space_group_name_H-M_alt 'P -4 3 m'
_space_group_IT_number 215
_space_group_name_Hall 'P -4 2 3'
_cell_length_a 5.956
_cell_length_b 5.956
_cell_length_c 5.956
_cell_angle_alpha 90.00
_cell_angle_beta 90.00
_cell_angle_gamma 90.00
loop_
_atom_site_label
_atom_site_fract_x
_atom_site_fract_y
_atom_site_fract_z
Tl1 0.000 0.000 0.000
Cu1 0.000 0.500 0.500
Pd1 0.500 0.500 0.500
Se1 0.263 0.263 0.263
```

Summary:
The crystal system is cubic. The value obtained for the final energy is -3.714 eV per atom.

***

[9]
Computed, not measured: crystalline TlCuPdSe3 at its relaxed geometry at the GGA-PBE level of DFT.

Cell and atoms, written as CIF:
```
data_TlCuPdSe3
_chemical_formula_sum 'Tl2 Cu2 Pd2 Se6'
_space_group_name_H-M_alt 'P 1 21/m 1'
_space_group_IT_number 11
_cell_length_a 7.774
_cell_length_b 3.866
_cell_length_c 9.871
_cell_angle_alpha 90.00
_cell_angle_beta 109.78
_cell_angle_gamma 90.00
loop_
_space_group_symop_operation_xyz
'x,y,z'
'-x,-y,-z'
'-x,y+1/2,-z'
'x,-y+1/2,z'
loop_
_atom_site_label
_atom_site_fract_x
_atom_site_fract_y
_atom_site_fract_z
Tl1 0.245 0.250 0.202
Cu1 0.432 0.250 0.912
Pd1 0.177 0.750 0.651
Se1 0.047 0.750 0.378
Se2 0.242 0.750 0.929
Se3 0.398 0.250 0.656
```

Summary:
The crystal system is monoclinic. The calculation puts the energy above the most stable polymorph in this dataset at 0.0000 eV per atom. The value obtained for the final energy is -3.868 eV per atom.

***

[10]
Computed, not measured: crystalline CuSiPd at its relaxed geometry at the GGA-PBE level of DFT.

Cell and atoms, written as CIF:
```
data_CuSiPd
_chemical_formula_sum 'Cu4 Si4 Pd4'
_space_group_name_H-M_alt 'F -4 3 m'
_space_group_IT_number 216
_space_group_name_Hall 'F -4 2 3'
_cell_length_a 5.656
_cell_length_b 5.656
_cell_length_c 5.656
_cell_angle_alpha 90.00
_cell_angle_beta 90.00
_cell_angle_gamma 90.00
loop_
_atom_site_label
_atom_site_fract_x
_atom_site_fract_y
_atom_site_fract_z
Cu1 0.000 0.000 0.000
Si1 0.250 0.250 0.250
Pd1 0.000 0.000 0.500
```

Summary:
The crystal system is cubic. The value obtained for the final energy is -5.035 eV per atom.

***

[11]
Computed, not measured: crystalline CuSi2Pd at its relaxed geometry at the GGA-PBE level of DFT.

Cell and atoms, written as CIF:
```
data_CuSi2Pd
_chemical_formula_sum 'Cu4 Si8 Pd4'
_space_group_name_H-M_alt 'F -4 3 m'
_space_group_IT_number 216
_space_group_name_Hall 'F -4 2 3'
_cell_length_a 6.084
_cell_length_b 6.084
_cell_length_c 6.084
_cell_angle_alpha 90.00
_cell_angle_beta 90.00
_cell_angle_gamma 90.00
loop_
_atom_site_label
_atom_site_fract_x
_atom_site_fract_y
_atom_site_fract_z
Cu1 0.000 0.000 0.000
Si1 0.000 0.000 0.500
Si2 0.250 0.250 0.250
Pd1 0.250 0.250 0.750
```

Summary:
The crystal system is cubic. The value obtained for the final energy is -4.822 eV per atom.

***

[12]
Computed, not measured: crystalline CuSiPd2 at its relaxed geometry at the GGA-PBE level of DFT.

Cell and atoms, written as CIF:
```
data_CuSiPd2
_chemical_formula_sum 'Cu4 Si4 Pd8'
_space_group_name_H-M_alt 'F -4 3 m'
_space_group_IT_number 216
_space_group_name_Hall 'F -4 2 3'
_cell_length_a 6.061
_cell_length_b 6.061
_cell_length_c 6.061
_cell_angle_alpha 90.00
_cell_angle_beta 90.00
_cell_angle_gamma 90.00
loop_
_atom_site_label
_atom_site_fract_x
_atom_site_fract_y
_atom_site_fract_z
Cu1 0.000 0.000 0.000
Si1 0.250 0.250 0.250
Pd1 0.000 0.000 0.500
Pd2 0.250 0.250 0.750
```

Summary:
The crystal system is cubic. The value obtained for the final energy is -5.086 eV per atom.